A relaxed structure of AlFeF5. Source: the Alexandria database, functional PBE+U.

The density comes out at 3.43 Mg/m³. The calculation puts the density of states at the Fermi level at 0.000 states/eV/f.u. For the total energy, the calculation gives -40.29 eV/f.u.

The space group is Immm (No. 71) and the conventional cell measures 3.6036, 6.3100 and 7.5681 Å, with angles of 90.00, 90.00 and 90.00 degrees. The distinct sites, in fractional coordinates, are Al at (0.0000, 0.0000, 0.0000), Fe at (0.0000, 0.0000, 0.5000), F at (0.0000, 0.0000, 0.2389), F at (0.0000, 0.2920, 0.0000) and F at (0.0000, 0.5000, 0.5000).